Model A:
AsS3N2F6 GGA-PBEsol relaxed; D(E_F) = 0.1 states/eV per cell; spin magnetization = 0.084 μB/atom
1.0
5.575 0.035 0.042
2.093 7.436 0.037
1.514 -0.173 9.348
As S N F
2 6 4 12
Direct
0.923 0.221 0.780
0.077 0.779 0.220
0.467 0.207 0.154
0.555 0.735 0.558
0.445 0.265 0.442
0.275 0.640 0.801
0.533 0.793 0.846
0.725 0.360 0.199
0.652 0.358 0.369
0.348 0.642 0.631
0.648 0.814 0.682
0.352 0.186 0.318
0.297 0.647 0.078
0.123 0.975 0.134
0.832 0.783 0.126
0.703 0.353 0.922
0.877 0.025 0.866
0.960 0.421 0.696
0.861 0.910 0.360
0.329 0.768 0.312
0.168 0.217 0.874
0.139 0.090 0.640
0.040 0.579 0.304
0.671 0.232 0.688

Model B:
AsS3N2F6 GGA-PBEsol relaxed; spin magnetization = 0.000 μB/atom
1.0
-7.437 2.574 2.281
-3.378 -7.151 -2.943
1.804 -3.834 10.206
As S N F
4 12 8 24
Direct
0.900 0.266 0.131
0.400 0.734 0.369
0.100 0.734 0.869
0.600 0.266 0.631
0.350 0.038 0.115
0.558 0.646 0.859
0.650 0.962 0.885
0.370 0.146 0.941
0.870 0.854 0.559
0.630 0.854 0.059
0.058 0.354 0.641
0.150 0.038 0.615
0.130 0.146 0.441
0.442 0.354 0.141
0.850 0.962 0.385
0.942 0.646 0.359
0.081 0.318 0.500
0.419 0.318 0.000
0.605 0.804 0.803
0.919 0.682 0.500
0.105 0.196 0.697
0.895 0.804 0.303
0.581 0.682 0.000
0.395 0.196 0.197
0.280 0.845 0.921
0.780 0.155 0.579
0.016 0.914 0.827
0.191 0.707 0.724
0.484 0.914 0.327
0.720 0.155 0.079
0.426 0.370 0.685
0.074 0.370 0.185
0.484 0.770 0.513
0.516 0.230 0.487
0.516 0.086 0.673
0.016 0.770 0.013
0.695 0.440 0.593
0.805 0.440 0.093
0.809 0.293 0.276
0.309 0.707 0.224
0.220 0.845 0.421
0.574 0.630 0.315
0.195 0.560 0.907
0.984 0.230 0.987
0.926 0.630 0.815
0.691 0.293 0.776
0.984 0.086 0.173
0.305 0.560 0.407

The most stable of them is model B.